1.
DFT (SCAN) results for a crystal of PtPbSe4 relaxed with PBEsol.

Cell lengths 5.6253, 5.6253, 5.6253 Å; angles 60.00, 60.00, 60.00 degrees
Positions (direct):
Se 0.3725 0.3725 0.8826
Se 0.3725 0.3725 0.3725
Se 0.3725 0.8826 0.3725
Se 0.8826 0.3725 0.3725
Pt 0.0000 0.0000 0.0000
Pb 0.7500 0.7500 0.7500

Values from the calculation:
The calculation puts the density of states at the Fermi level at 6.113 states/eV per cell. The calculation puts the total energy at -36.94 eV per atom. As for the mass density: 9.5 g/cm³. The symmetry is F-43m, No. 216. As for the volume: 20.98 A^3/atom. As for the crystal system: cubic.


2.
DFT (SCAN) results for a crystal of Pt2PbSe relaxed with PBEsol.

Cell lengths 4.7167, 4.7167, 4.7167 Å; angles 60.00, 60.00, 60.00 degrees
Positions (direct):
Se 0.2500 0.2500 0.2500
Pt 0.0000 0.0000 0.0000
Pt 0.7500 0.7500 0.7500
Pb 0.5000 0.5000 0.5000

Values from the calculation:
The calculation puts the density of states at the Fermi level at 1.802 states/eV per cell. The calculation puts the total energy at -58.66 eV per atom. As for the mass density: 15.1 g/cm³. The symmetry is F-43m, No. 216. As for the volume: 18.55 A^3/atom. As for the crystal system: cubic.


3.
DFT (SCAN) results for a crystal of PtPb2Se relaxed with PBEsol.

Cell lengths 4.0102, 4.0102, 7.4025 Å; angles 74.28, 74.28, 60.00 degrees
Positions (direct):
Pt 0.5000 0.5000 0.5000
Pb 0.2419 0.2419 0.2743
Pb 0.7581 0.7581 0.7257
Se 0.0000 0.0000 0.0000

Values from the calculation:
The calculation puts the density of states at the Fermi level at 1.433 states/eV per cell. The calculation puts the total energy at -60.69 eV per atom. As for the mass density: 11.7 g/cm³. The symmetry is R-3m, No. 166. As for the volume: 24.48 A^3/atom. As for the crystal system: trigonal.